Entry 1:
Here is an optimized crystal structure of BaCaAs2Se from the Alexandria database. Energies are from GGA-PBEsol.

Cell lengths 5.3115, 5.3115, 5.3723 Å; angles 90.00, 90.00, 90.00 degrees
Last column: nearest neighbours and their distance in Å.
Space group P4/mmm (No. 123)
Unique sites:
1 Ba 0.0000 0.0000 0.0000 x1  4 Se 3.76, 8 As 3.78
2 Ca 0.5000 0.5000 0.5000 x1  4 As 2.66, 2 Se 2.69
3 As 0.0000 0.5000 0.5000 x2  2 Ca 2.66
4 Se 0.5000 0.5000 0.0000 x1  2 Ca 2.69

- Energy: -4.14 eV/atom
- Total magnetic moment: 0.0 Bohr magnetons per cell
- DOS(E_F): 5.01 states/eV per cell

=====

Entry 2:
Here is an optimized crystal structure of BaCaZnAs2 from the Alexandria database. Energies are from GGA-PBEsol.

Cell lengths 5.0993, 5.0993, 5.3159 Å; angles 90.00, 90.00, 90.00 degrees
Last column: nearest neighbours and their distance in Å.
Space group P4/mmm (No. 123)
Unique sites:
1 Ba 0.0000 0.0000 0.0000 x1  2 Zn 2.66
2 Ca 0.5000 0.5000 0.0000 x1  4 Ba 3.61, 8 As 3.68
3 Zn 0.0000 0.0000 0.5000 x1  4 As 2.55, 2 Ba 2.66
4 As 0.0000 0.5000 0.5000 x2  2 Zn 2.55

- Total magnetic moment: 0.0 Bohr magnetons per cell
- E_form: -0.01 eV/atom
- DOS(E_F): 3.25 states/eV per cell

=====

Entry 3:
Here is an optimized crystal structure of BaCd2As from the Alexandria database. Energies are from GGA-PBEsol.

Cell lengths 3.5378, 4.0816, 7.2844 Å; angles 90.00, 90.00, 90.00 degrees
Last column: nearest neighbours and their distance in Å.
Space group Pmm2 (No. 25)
Unique sites:
1 Ba 0.0000 0.0000 0.0000 x1  4 As 3.36, 5 Cd 3.46-3.64, 2 Ba 3.54
2 Cd 0.0000 0.0000 0.5248 x1  4 Cd 3.04, 4 As 3.07
3 Cd 0.5000 0.5000 0.3346 x1  1 As 2.85, 4 Cd 3.04
4 As 0.5000 0.5000 0.7257 x1  5 Cd 2.85-3.07

- Total magnetic moment: 0.0 Bohr magnetons per cell
- E_form: -0.29 eV/atom
- DOS(E_F): 1.26 states/eV per cell

=====

Entry 4:
Here is an optimized crystal structure of BaCdAs2 from the Alexandria database. Energies are from GGA-PBEsol.

Cell lengths 3.3734, 4.6972, 6.6923 Å; angles 90.00, 90.00, 90.00 degrees
Last column: nearest neighbours and their distance in Å.
Space group Pmm2 (No. 25)
Unique sites:
1 Ba 0.0000 0.0000 0.0000 x1  6 As 3.18-3.43, 2 Ba 3.37
2 Cd 0.5000 0.5000 0.3981 x1  5 As 2.71-2.95
3 As 0.0000 0.0000 0.4870 x1  4 Cd 2.95, 1 Ba 3.26
4 As 0.5000 0.5000 0.8027 x1  1 Cd 2.71

- Total magnetic moment: 0.0 Bohr magnetons per cell
- E_form: -0.13 eV/atom
- DOS(E_F): 2.74 states/eV per cell

=====

Entry 5:
Here is an optimized crystal structure of BaCdAs2 from the Alexandria database. Energies are from GGA-PBEsol.

Cell lengths 3.7716, 3.7716, 7.3196 Å; angles 90.00, 90.00, 90.00 degrees
Last column: nearest neighbours and their distance in Å.
Space group P4mm (No. 99)
Unique sites:
1 Ba 0.0000 0.0000 0.0000 x1  5 As 3.14-3.51
2 Cd 0.5000 0.5000 0.3195 x1  1 As 2.70
3 As 0.0000 0.0000 0.5711 x1  4 As 2.80
4 As 0.5000 0.5000 0.6881 x1  1 Cd 2.70, 4 As 2.80

- Total magnetic moment: 0.0 Bohr magnetons per cell
- E_form: -0.27 eV/atom
- DOS(E_F): 1.21 states/eV per cell

=====

Entry 6:
Here is an optimized crystal structure of Ba2Cd2As3 from the Alexandria database. Energies are from GGA-PBEsol.

Cell lengths 17.1068, 4.5420, 12.6997 Å; angles 90.00, 126.82, 90.00 degrees
Last column: nearest neighbours and their distance in Å.
Space group C2/m (No. 12)
Unique sites:
1 Ba 0.1068 0.0000 0.4503 x4  7 As 3.34-3.50, 3 Cd 3.56-3.62
2 Ba 0.2321 0.0000 0.8327 x4  6 As 3.24-3.33
3 Cd 0.0425 0.5000 0.8135 x4  4 As 2.72-2.84
4 Cd 0.0891 0.0000 0.1512 x4  4 As 2.72-2.89
5 As 0.0735 0.5000 0.6174 x4  1 As 2.50
6 As 0.1157 0.0000 0.9606 x4  4 Cd 2.72-2.89
7 As 0.1522 0.5000 0.3000 x4  3 Cd 2.72-2.73

- Total magnetic moment: 0.0 Bohr magnetons per cell
- E_form: -0.77 eV/atom
- DOS(E_F): 0.75 states/eV per cell

=====

Entry 7:
Here is an optimized crystal structure of Ba2CdAs from the Alexandria database. Energies are from GGA-PBEsol.

Cell lengths 4.3455, 5.3981, 5.5275 Å; angles 90.00, 90.00, 90.00 degrees
Last column: nearest neighbours and their distance in Å.
Space group Pmm2 (No. 25)
Unique sites:
1 Ba 0.0000 0.0000 0.0000 x1  4 Cd 3.44-3.59, 4 As 3.48, 2 Ba 3.70
2 Ba 0.0000 0.5000 0.4590 x1  4 As 3.42-3.61, 4 Cd 3.48, 2 Ba 3.70
3 Cd 0.5000 0.0000 0.5172 x1  8 Ba 3.44-3.59, 2 As 3.56
4 As 0.5000 0.5000 0.9369 x1  8 Ba 3.42-3.61, 2 Cd 3.56

- Total magnetic moment: 0.0 Bohr magnetons per cell
- E_form: -0.65 eV/atom
- DOS(E_F): 1.39 states/eV per cell

=====

Entry 8:
Here is an optimized crystal structure of Ba2CdAs from the Alexandria database. Energies are from GGA-PBEsol.

Cell lengths 7.9275, 7.9275, 7.9275 Å; angles 90.00, 90.00, 90.00 degrees
Last column: nearest neighbours and their distance in Å.
Space group F-43m (No. 216)
Unique sites:
1 Ba 0.0000 0.0000 0.0000 x4  4 Ba 3.43, 4 Cd 3.43
2 Ba 0.2500 0.2500 0.2500 x4  4 Ba 3.43, 4 As 3.43
3 Cd 0.2500 0.2500 0.7500 x4  4 Ba 3.43, 4 As 3.43
4 As 0.0000 0.0000 0.5000 x4  4 Cd 3.43, 4 Ba 3.43

- Total magnetic moment: 0.0 Bohr magnetons per cell
- E_form: -0.23 eV/atom
- DOS(E_F): 15.30 states/eV per cell

=====

Entry 9:
Here is an optimized crystal structure of BaCd2As2 from the Alexandria database. Energies are from GGA-PBEsol.

Cell lengths 4.5047, 4.5047, 7.6261 Å; angles 90.00, 90.00, 120.00 degrees
Last column: nearest neighbours and their distance in Å.
Space group P-3m1 (No. 164)
Unique sites:
1 Ba 0.0000 0.0000 0.0000 x1  6 As 3.28
2 Cd 0.3333 0.6667 0.6298 x2  4 As 2.73-2.80
3 As 0.3333 0.6667 0.2624 x2  4 Cd 2.73-2.80

- Total magnetic moment: 0.0 Bohr magnetons per cell
- E_form: -0.63 eV/atom
- DOS(E_F): 0.04 states/eV per cell

=====

Entry 10:
Here is an optimized crystal structure of BaCd2As from the Alexandria database. Energies are from GGA-PBEsol.

Cell lengths 4.1422, 5.2041, 10.0729 Å; angles 90.00, 90.00, 90.00 degrees
Last column: nearest neighbours and their distance in Å.
Space group Immm (No. 71)
Unique sites:
1 Ba 0.0000 0.0000 0.0000 x2  4 As 3.33, 8 Cd 3.39-3.54
2 Cd 0.0000 0.5000 0.2153 x4  2 As 3.00
3 As 0.0000 0.0000 0.5000 x2  4 Cd 3.00, 4 Ba 3.33

- Total magnetic moment: 0.0 Bohr magnetons per cell
- E_form: -0.30 eV/atom
- DOS(E_F): 3.61 states/eV per cell

=====

Entry 11:
Here is an optimized crystal structure of BaCd2As from the Alexandria database. Energies are from GGA-PBEsol.

Cell lengths 4.6471, 4.6471, 9.9461 Å; angles 90.00, 90.00, 90.00 degrees
Last column: nearest neighbours and their distance in Å.
Space group I4/mmm (No. 139)
Unique sites:
1 Ba 0.0000 0.0000 0.0000 x2  4 As 3.29, 8 Cd 3.40
2 Cd 0.0000 0.5000 0.2500 x4  4 Cd 3.29, 4 As 3.40, 4 Ba 3.40
3 As 0.0000 0.0000 0.5000 x2  4 Ba 3.29, 8 Cd 3.40

- Total magnetic moment: 0.0 Bohr magnetons per cell
- E_form: -0.29 eV/atom
- DOS(E_F): 2.93 states/eV per cell

=====

Entry 12:
Here is an optimized crystal structure of Ba4Li2Cd3As6 from the Alexandria database. Energies are from GGA-PBEsol.

Cell lengths 4.5848, 20.2448, 17.0349 Å; angles 90.00, 90.00, 90.00 degrees
Last column: nearest neighbours and their distance in Å.
Space group Cmcm (No. 63)
Unique sites:
1 Ba 0.0000 0.0169 0.1217 x8  7 As 3.33-3.53, 3 Li 3.47-3.56, 2 Cd 3.52
2 Ba 0.0000 0.1734 0.5699 x8  6 As 3.25-3.37
3 Li 0.0000 0.1499 0.2500 x4  4 As 2.66-2.83, 1 Cd 2.96
4 Li 0.0000 0.4361 0.2500 x4  3 As 2.56-2.68, 1 Cd 2.83
5 Cd 0.0000 0.2963 0.2500 x4  4 As 2.74-2.85, 2 Li 2.83-2.96
6 Cd 0.0000 0.3514 0.6224 x8  4 As 2.70-2.92
7 As 0.0000 0.1200 0.7500 x4  2 Li 2.56, 2 Cd 2.85
8 As 0.0000 0.2194 0.1173 x8  1 Li 2.66, 3 Cd 2.70-2.74
9 As 0.0000 0.4318 0.7500 x4  3 Li 2.68-2.83, 2 Cd 2.72
10 As 0.0000 0.4391 0.0136 x8  1 As 2.51

- Total magnetic moment: 0.0 Bohr magnetons per cell
- E_form: -0.84 eV/atom
- DOS(E_F): 0.08 states/eV per cell

=====

Entry 13:
Here is an optimized crystal structure of Ba2AsCl from the Alexandria database. Energies are from GGA-PBEsol.

Cell lengths 4.2011, 4.3134, 15.5008 Å; angles 90.00, 90.00, 90.00 degrees
Last column: nearest neighbours and their distance in Å.
Space group Imm2 (No. 44)
Unique sites:
1 Ba 0.0000 0.0000 0.0000 x2  2 As 3.13, 4 Cl 3.34
2 Ba 0.0000 0.5000 0.2322 x2  4 As 3.27, 2 Cl 3.46
3 As 0.0000 0.5000 0.6493 x2  6 Ba 3.13-3.27
4 Cl 0.0000 0.0000 0.4071 x2  6 Ba 3.34-3.46

- Energy: -4.34 eV/atom
- Total magnetic moment: 0.0 Bohr magnetons per cell
- DOS(E_F): 0.37 states/eV per cell

=====

Entry 14:
Here is an optimized crystal structure of Ba2AsCl from the Alexandria database. Energies are from GGA-PBEsol.

Cell lengths 6.4259, 6.5724, 6.5730 Å; angles 90.00, 90.00, 90.00 degrees
Last column: nearest neighbours and their distance in Å.
Space group Amm2 (No. 38)
Unique sites:
1 Ba 0.0000 0.0000 0.0000 x2  2 As 3.21, 4 Cl 3.28-3.29
2 Ba 0.5000 0.0000 0.4989 x2  2 Cl 3.21, 4 As 3.28-3.29
3 As 0.5000 0.0000 0.9982 x2  6 Ba 3.21-3.29
4 Cl 0.0000 0.0000 0.4996 x2  6 Ba 3.21-3.29

- Energy: -4.47 eV/atom
- Total magnetic moment: 0.0 Bohr magnetons per cell
- DOS(E_F): 0.65 states/eV per cell

=====

Entry 15:
Here is an optimized crystal structure of Ba2As2Cl from the Alexandria database. Energies are from GGA-PBEsol.

Cell lengths 8.6234, 8.6234, 4.3206 Å; angles 90.00, 90.00, 90.00 degrees
Last column: nearest neighbours and their distance in Å.
Space group P4/mbm (No. 127)
Unique sites:
1 Ba 0.1903 0.3097 0.0000 x4  2 Cl 3.13, 6 As 3.38
2 As 0.0967 0.5967 0.5000 x4  1 As 2.36
3 Cl 0.0000 0.0000 0.0000 x2  4 Ba 3.13

- Energy: -4.64 eV/atom
- Total magnetic moment: 0.0 Bohr magnetons per cell
- DOS(E_F): 9.34 states/eV per cell

=====

Entry 16:
Here is an optimized crystal structure of BaAsCl2 from the Alexandria database. Energies are from GGA-PBEsol.

Cell lengths 3.9627, 4.3830, 12.1040 Å; angles 90.00, 90.00, 90.00 degrees
Last column: nearest neighbours and their distance in Å.
Space group Imm2 (No. 44)
Unique sites:
1 Ba 0.0000 0.0000 0.0000 x2  6 Cl 3.00-3.22
2 As 0.0000 0.5000 0.2260 x2  4 Cl 2.96
3 Cl 0.0000 0.0000 0.4578 x2  4 Ba 3.00
4 Cl 0.0000 0.5000 0.7097 x2  4 As 2.96, 2 Ba 3.22

- Energy: -3.92 eV/atom
- Total magnetic moment: 0.0 Bohr magnetons per cell
- DOS(E_F): 5.26 states/eV per cell

=====

Entry 17:
Here is an optimized crystal structure of Ba2GaAsCl from the Alexandria database. Energies are from GGA-PBEsol.

Cell lengths 5.8372, 5.8372, 4.9911 Å; angles 90.00, 90.00, 90.00 degrees
Last column: nearest neighbours and their distance in Å.
Space group P4/mmm (No. 123)
Unique sites:
1 Ba 0.0000 0.5000 0.0000 x2  2 Cl 2.92
2 Ga 0.0000 0.0000 0.5000 x1  2 Cl 2.50
3 As 0.5000 0.5000 0.5000 x1  8 Ba 3.84, 4 Ga 4.13
4 Cl 0.0000 0.0000 0.0000 x1  2 Ga 2.50

- Energy: -3.61 eV/atom
- Total magnetic moment: 0.0 Bohr magnetons per cell
- DOS(E_F): 2.75 states/eV per cell

=====

Entry 18:
Here is an optimized crystal structure of Ba3Sr2As3ClO12 from the Alexandria database. Energies are from GGA-PBEsol.

Cell lengths 10.3864, 10.3864, 7.5783 Å; angles 90.00, 90.00, 120.00 degrees
Last column: nearest neighbours and their distance in Å.
Space group P6_3/m (No. 176)
Unique sites:
1 Ba 0.0097 0.7543 0.2500 x6  5 O 2.59-2.85
2 Sr 0.3333 0.6667 0.0017 x4  6 O 2.60-2.61
3 As 0.0371 0.6206 0.7500 x6  4 O 1.71-1.72
4 Cl 0.0000 0.0000 0.0000 x2  6 Ba 3.22, 6 O 3.39
5 O 0.0924 0.7339 0.5687 x12  1 As 1.71
6 O 0.1412 0.5339 0.7500 x6  1 As 1.72
7 O 0.1503 0.5043 0.2500 x6  1 As 1.72

- Energy: -6.64 eV/atom
- Total magnetic moment: 0.0 Bohr magnetons per cell
- DOS(E_F): 0.00 states/eV per cell

=====

Entry 19:
Here is an optimized crystal structure of BaAs2PdCl from the Alexandria database. Energies are from GGA-PBEsol.

Cell lengths 5.2099, 5.2099, 4.5492 Å; angles 90.00, 90.00, 90.00 degrees
Last column: nearest neighbours and their distance in Å.
Space group P4/mmm (No. 123)
Unique sites:
1 Ba 0.0000 0.0000 0.0000 x1  8 As 3.46, 4 Pd 3.68
2 As 0.0000 0.5000 0.5000 x2  2 Cl 2.60
3 Pd 0.5000 0.5000 0.0000 x1  2 Cl 2.27
4 Cl 0.5000 0.5000 0.5000 x1  2 Pd 2.27

- Energy: -3.98 eV/atom
- Total magnetic moment: 0.0 Bohr magnetons per cell
- DOS(E_F): 4.41 states/eV per cell

=====

Entry 20:
Here is an optimized crystal structure of BaAsSeCl2 from the Alexandria database. Energies are from GGA-PBEsol.

Cell lengths 4.7902, 4.7902, 6.8882 Å; angles 90.00, 90.00, 90.00 degrees
Last column: nearest neighbours and their distance in Å.
Space group P4/mmm (No. 123)
Unique sites:
1 Ba 0.0000 0.0000 0.0000 x1  4 Se 3.39, 2 As 3.44
2 As 0.0000 0.0000 0.5000 x1  4 Cl 2.40
3 Se 0.5000 0.5000 0.0000 x1  4 Ba 3.39
4 Cl 0.0000 0.5000 0.5000 x2  2 As 2.40

- Energy: -3.75 eV/atom
- Total magnetic moment: 0.5 Bohr magnetons per cell
- DOS(E_F): 4.08 states/eV per cell